No. 1
ZnP2PdCl: relaxed, PBEsol.

Computed properties:
**Energy relative to the elements, uncorrected**: 0.577 eV/atom
**Electronic total energy**: -3.65 eV/atom

The structure in extended XYZ format:
```
5
Lattice="-4.395 1.271 0.248 -1.203 -4.332 0.881 0.514 0.837 4.817" Properties=species:S:1:pos:R:3 pbc="T T T"
P -0.602 -2.166 0.441
P -2.198 0.636 0.124
Zn -2.542 -1.112 2.973
Pd 0.000 0.000 0.000
Cl 0.257 0.419 2.408
```

=====

No. 2
Ni2IrOs: relaxed, PBEsol.

Computed properties:
**Relative energy among the computed polymorphs**: 20 meV per atom
**Energy of formation from the pure elements**: 0.1 eV/f.u.
**Electronic total energy**: -8.56 eV/atom

The structure in extended XYZ format:
```
4
Lattice="2.636 0.000 0.000 0.000 4.391 -0.007 -1.318 -0.768 4.250" Properties=species:S:1:pos:R:3 pbc="T T T"
Ni 1.318 3.569 4.229
Ni 0.000 2.949 2.128
Ir 1.318 0.742 2.125
Os 1.318 2.181 0.001
```

=====

No. 3
Ta2NiW: relaxed, PBEsol.

Computed properties:
**Energy of formation from the pure elements**: 0.3 eV/f.u.
**Electronic total energy**: -11.19 eV/atom

The structure in extended XYZ format:
```
4
Lattice="3.351 0.000 0.000 0.000 4.194 0.000 0.000 0.000 4.370" Properties=species:S:1:pos:R:3 pbc="T T T"
Ni 0.000 2.097 2.185
Ta 0.000 0.000 0.000
Ta 1.676 0.000 2.185
W 1.676 2.097 0.000
```

=====

No. 4
LiMoN3: relaxed, PBEsol.

Computed properties:
**Energy relative to the elements, uncorrected**: 1.469 eV/atom
**Electronic total energy**: -6.39 eV/atom

The structure in extended XYZ format:
```
5
Lattice="3.419 0.000 0.000 0.000 3.419 0.000 0.000 0.000 3.419" Properties=species:S:1:pos:R:3 pbc="T T T"
Mo 1.709 1.709 1.709
Li 0.000 0.000 0.000
N 0.000 1.709 0.000
N 0.000 0.000 1.709
N 1.709 0.000 0.000
```